Entry 1:
Density functional theory data (PBE-GGA) for a geometry-optimized AgOsBr2O structure.

a b c (Å): 5.433 3.899 5.433
angles (deg): 90.00 90.00 90.00
Atoms (fractional coordinates):
O: 0.000 0.500 0.000
Os: 0.500 0.500 0.500
Br: 0.500 0.000 0.000
Ag: 0.000 0.000 0.000
Br: 0.000 0.000 0.500

Computed properties:
- Space-group type: P4/mmm (123)
- Final energy: -3.16 eV/atom

Entry 2:
Density functional theory data (PBE-GGA) for a geometry-optimized AgP2BrO structure.

a b c (Å): 5.082 5.082 3.632
angles (deg): 90.00 90.00 90.00
Atoms (fractional coordinates):
Ag: 0.500 0.500 0.500
P: 0.500 0.000 0.000
O: 0.000 0.000 0.500
Br: 0.000 0.000 0.000
P: 0.000 0.500 0.000

Computed properties:
- Space-group type: P4/mmm (123)
- Final energy: -2.90 eV/atom